Sm4Y3Ho | the Alexandria database | GGA-PBE | optimized geometry; ΔH_f (0 K) = 18 meV per atom; density of states at the Fermi level = 29.733 states/eV/cell; mass density = 6.44 g cm⁻³
1.0
11.473 0.000 0.000
0.000 7.330 0.000
0.000 0.000 6.335
Sm Y Ho
8 6 2
Direct
0.000 0.126 0.000 Sm
0.000 0.874 0.498 Sm
0.249 0.874 0.830 Sm
0.251 0.126 0.330 Sm
0.500 0.126 0.998 Sm
0.500 0.874 0.500 Sm
0.749 0.126 0.330 Sm
0.751 0.874 0.830 Sm
0.000 0.376 0.497 Y
0.250 0.377 0.831 Y
0.250 0.623 0.331 Y
0.500 0.624 0.997 Y
0.750 0.377 0.831 Y
0.750 0.623 0.331 Y
0.000 0.623 0.996 Ho
0.500 0.377 0.496 Ho